TaRuPb | PBE | optimized geometry

Results
**E_form**: 0.6 eV per formula unit
**Crystal system**: tetragonal
**Density of states at the Fermi level**: 1.2624 states/eV/atom

Lattice parameters (Å, degrees): 6.2770 6.2769 3.1823 75.32 75.32 29.37
Last column: nearest neighbours and their distance in Å.
Sites, in units of the cell vectors:
Pb  0.9958  0.9958  0.0042  4 Ru 3.14, 4 Pb 3.18, 4 Ta 3.24
Ta  0.6950  0.6950  0.3050  4 Ru 2.62
Ru  0.3092  0.3092  0.6908  4 Ta 2.62

---

MgRe3Ir | PBE | optimized geometry

Results
**E_form**: 9.8 eV per formula unit
**Crystal system**: cubic
**Density of states at the Fermi level**: 1.4311 states/eV/atom

Lattice parameters (Å, degrees): 4.7445 4.7445 4.7445 90.00 90.00 90.00
Last column: nearest neighbours and their distance in Å.
Sites, in units of the cell vectors:
Mg  0.5000  0.5000  0.5000  12 Re 3.35
Re  0.0000  0.5000  0.0000  2 Ir 2.37
Re  0.0000  0.0000  0.5000  2 Ir 2.37
Ir  0.0000  0.0000  0.0000  6 Re 2.37
Re  0.5000  0.0000  0.0000  2 Ir 2.37

---

AsIrRhBr2 | PBE | optimized geometry

Results
**Uncorrected formation energy**: 919.4 meV per atom
**Crystal system**: tetragonal
**Density of states at the Fermi level**: 1.6078 states/eV/atom

Lattice parameters (Å, degrees): 5.2640 5.2640 4.5917 90.00 90.00 90.00
Last column: nearest neighbours and their distance in Å.
Sites, in units of the cell vectors:
As  0.0000  0.0000  0.5000  2 Ir 2.30
Ir  0.0000  0.0000  0.0000  2 As 2.30
Br  0.5000  0.0000  0.0000  2 Ir 2.63
Br  0.0000  0.5000  0.0000  2 Ir 2.63
Rh  0.5000  0.5000  0.5000  8 Br 3.49, 4 As 3.72

---

LaDy2Ge4 | PBE | optimized geometry

Results
**E_form**: -5.5 eV per formula unit
**Crystal system**: orthorhombic
**Density of states at the Fermi level**: 0.4621 states/eV/atom

Lattice parameters (Å, degrees): 4.0611 4.3706 9.6520 103.09 102.14 90.00
Last column: nearest neighbours and their distance in Å.
Sites, in units of the cell vectors:
Ge  0.9311  0.4311  0.8621  3 Ge 2.53-2.62
Dy  0.1815  0.1815  0.3630  7 Ge 2.92-3.01
Ge  0.0689  0.5689  0.1379  3 Ge 2.53-2.62
Dy  0.8185  0.8185  0.6370  7 Ge 2.92-3.01
Ge  0.6595  0.6595  0.3190  2 Ge 2.62, 1 Dy 2.92
La  0.5000  0.0000  0.0000  8 Ge 3.24
Ge  0.3405  0.3405  0.6810  2 Ge 2.62, 1 Dy 2.92

---

> Among the records above, which one has the highest density of states at the Fermi level?

AsIrRhBr2